# 1
ScAsOs after structural relaxation, computed with PBE.

Geometry as extended XYZ:
```
3
Lattice="-0.077 4.245 -0.703 -3.646 -2.096 0.912 0.471 0.518 3.074" Properties=species:S:1:pos:R:3 pbc="T T T"
Sc -2.142 0.363 2.424
As 0.078 0.086 0.512
Os -1.188 2.217 0.347
```

Output
SG: P-6m2 (187)

# 2
TiNi2Bi2 after structural relaxation, computed with PBE.

Geometry as extended XYZ:
```
10
Lattice="-6.186 -0.771 4.432 1.931 -7.261 1.433 1.725 0.967 2.576" Properties=species:S:1:pos:R:3 pbc="T T T"
Ti 0.000 0.000 0.000
Ti -2.127 -4.016 2.932
Bi -0.343 -2.584 1.200
Bi -0.476 -6.352 2.703
Bi -3.912 -5.448 4.664
Bi -3.779 -1.680 3.161
Ni -1.387 -6.293 5.338
Ni 1.258 -4.223 2.790
Ni -3.788 -2.842 5.650
Ni -1.143 -0.772 3.102
```

Output
SG: P4/mbm (127)
Energy relative to the lowest polymorph listed for this composition: 0.180 eV per atom

Size of the total moment
In order: 0.0000, 0.0000
Unit: μB per atom
Energy
In order: -7.9056, -5.2044
Unit: eV/atom
Formation energy
In order: -0.502, 0.240
Unit: eV/atom